Compound: K2Pu3WO12
Source: Alexandria
Functional: PBE+U
Structure: optimized geometry

Cell lengths 7.689, 7.689, 7.689 Å; angles 60.70, 60.70, 60.70 degrees
Element x y z (fractional)
K 0.625 0.625 0.625
K 0.375 0.375 0.375
Pu 0.500 0.000 0.000
Pu 0.000 0.500 0.000
Pu 0.000 0.000 0.500
W 0.000 0.000 0.000
O 0.321 0.321 0.935
O 0.938 0.938 0.298
O 0.298 0.938 0.938
O 0.935 0.321 0.321
O 0.938 0.298 0.938
O 0.321 0.935 0.321
O 0.679 0.679 0.065
O 0.062 0.062 0.702
O 0.702 0.062 0.062
O 0.065 0.679 0.679
O 0.062 0.702 0.062
O 0.679 0.065 0.679

Properties
- VASP energy (eV for the cell shown) = -155.4
- SG = R-3m (166)
- DOS at the Fermi energy (states/eV/atom) = 0.74